Material: PrGdCu
Method: DFT, PBE-GGA
State: relaxed

As for the formation energy: 109 meV per atom.

The space group is F-43m (No. 216) and the conventional cell measures 6.985, 6.985 and 6.985 Å, with angles of 90.00, 90.00 and 90.00 degrees. The inequivalent atoms are Pr at (0.000, 0.000, 0.000), Gd at (0.000, 0.000, 0.500) and Cu at (0.250, 0.250, 0.750).

Material: PrGdCuS3
Method: DFT, PBE-GGA
State: relaxed

The space group is Cmcm (No. 63) and the conventional cell measures 3.846, 12.796 and 10.275 Å, with angles of 90.00, 90.00 and 90.00 degrees. The inequivalent atoms are Pr at (0.000, 0.239, 0.250), Gd at (0.000, 0.000, 0.000), Cu at (0.000, 0.476, 0.750), S at (0.000, 0.084, 0.750) and S at (0.000, 0.357, 0.576).

Material: PrGdCu2Sb4
Method: DFT, PBE-GGA
State: relaxed

The space group is P4mm (No. 99) and the conventional cell measures 4.355, 4.355 and 10.025 Å, with angles of 90.00, 90.00 and 90.00 degrees. The inequivalent atoms are Pr at (0.000, 0.000, 0.000), Gd at (0.500, 0.500, 0.502), Cu at (0.000, 0.500, 0.744), Sb at (0.000, 0.000, 0.589), Sb at (0.000, 0.500, 0.255) and Sb at (0.500, 0.500, 0.900).

Material: Pr2GdCu4Sn4
Method: DFT, PBE-GGA
State: relaxed

The space group is Immm (No. 71) and the conventional cell measures 4.601, 6.954 and 15.050 Å, with angles of 90.00, 90.00 and 90.00 degrees. The inequivalent atoms are Pr at (0.000, 0.000, 0.132), Gd at (0.000, 0.500, 0.000), Cu at (0.000, 0.185, 0.331), Sn at (0.000, 0.294, 0.500) and Sn at (0.000, 0.500, 0.214).

Material: RbGd2Cu3S5
Method: DFT, PBE-GGA
State: relaxed

The space group is Cmcm (No. 63) and the conventional cell measures 3.978, 13.946 and 16.668 Å, with angles of 90.00, 90.00 and 90.00 degrees. The inequivalent atoms are Rb at (0.000, 0.066, 0.250), Gd at (0.000, 0.192, 0.593), Cu at (0.000, 0.345, 0.250), Cu at (0.000, 0.416, 0.538), S at (0.000, 0.165, 0.070), S at (0.000, 0.238, 0.750) and S at (0.000, 0.440, 0.115).

Material: Rb2Gd4Cu4S9
Method: DFT, PBE-GGA
State: relaxed

The space group is C2/m (No. 12) and the conventional cell measures 13.965, 3.984 and 16.085 Å, with angles of 90.00, 109.28 and 90.00 degrees. The inequivalent atoms are Rb at (0.028, 0.000, 0.271), Gd at (0.154, 0.500, 0.554), Gd at (0.232, 0.000, 0.104), Cu at (0.070, 0.500, 0.961), Cu at (0.248, 0.000, 0.729), S at (0.000, 0.000, 0.500), S at (0.107, 0.500, 0.124), S at (0.138, 0.000, 0.925), S at (0.157, 0.500, 0.723) and S at (0.203, 0.500, 0.398).

Material: RbGd2Cu3Se4S
Method: DFT, PBE-GGA
State: relaxed

The space group is Cmcm (No. 63) and the conventional cell measures 4.105, 14.557 and 17.043 Å, with angles of 90.00, 90.00 and 90.00 degrees. The inequivalent atoms are Rb at (0.000, 0.067, 0.250), Gd at (0.000, 0.192, 0.595), Cu at (0.000, 0.337, 0.250), Cu at (0.000, 0.415, 0.527), Se at (0.000, 0.165, 0.072), Se at (0.000, 0.443, 0.118) and S at (0.000, 0.237, 0.750).

Material: RbGd2CuSeS3
Method: DFT, PBE-GGA
State: relaxed

The space group is Cmcm (No. 63) and the conventional cell measures 4.049, 13.995 and 14.010 Å, with angles of 90.00, 90.00 and 90.00 degrees. The inequivalent atoms are Rb at (0.000, 0.116, 0.250), Gd at (0.000, 0.366, 0.058), Cu at (0.000, 0.168, 0.750), Se at (0.000, 0.432, 0.250), S at (0.000, 0.000, 0.000) and S at (0.000, 0.257, 0.608).

Material: RbGd2Cu3SeS4
Method: DFT, PBE-GGA
State: relaxed

The space group is Cmcm (No. 63) and the conventional cell measures 4.002, 13.983 and 16.850 Å, with angles of 90.00, 90.00 and 90.00 degrees. The inequivalent atoms are Rb at (0.000, 0.060, 0.250), Gd at (0.000, 0.190, 0.590), Cu at (0.000, 0.350, 0.250), Cu at (0.000, 0.416, 0.537), Se at (0.000, 0.245, 0.750), S at (0.000, 0.166, 0.070) and S at (0.000, 0.440, 0.113).

Material: RbGd2CuSe3S
Method: DFT, PBE-GGA
State: relaxed

The space group is Cmcm (No. 63) and the conventional cell measures 4.120, 14.312 and 14.292 Å, with angles of 90.00, 90.00 and 90.00 degrees. The inequivalent atoms are Rb at (0.000, 0.102, 0.250), Gd at (0.000, 0.366, 0.067), Cu at (0.000, 0.160, 0.750), Se at (0.000, 0.000, 0.000), Se at (0.000, 0.264, 0.612) and S at (0.000, 0.423, 0.250).

Material: RbGd2CuTeS3
Method: DFT, PBE-GGA
State: relaxed

The space group is Cmcm (No. 63) and the conventional cell measures 4.113, 14.193 and 14.288 Å, with angles of 90.00, 90.00 and 90.00 degrees. The inequivalent atoms are Rb at (0.000, 0.134, 0.250), Gd at (0.000, 0.367, 0.051), Cu at (0.000, 0.168, 0.750), Te at (0.000, 0.443, 0.250), S at (0.000, 0.000, 0.000) and S at (0.000, 0.252, 0.606).

Material: RbGd2Cu3Te4S
Method: DFT, PBE-GGA
State: relaxed

The space group is Cmcm (No. 63) and the conventional cell measures 4.299, 15.469 and 17.774 Å, with angles of 90.00, 90.00 and 90.00 degrees. The inequivalent atoms are Rb at (0.000, 0.073, 0.250), Gd at (0.000, 0.194, 0.601), Cu at (0.000, 0.330, 0.250), Cu at (0.000, 0.415, 0.519), Te at (0.000, 0.162, 0.071), Te at (0.000, 0.446, 0.125) and S at (0.000, 0.237, 0.750).

Material: RbGd2Cu3TeSe4
Method: DFT, PBE-GGA
State: relaxed

The space group is Cmcm (No. 63) and the conventional cell measures 4.197, 14.562 and 17.643 Å, with angles of 90.00, 90.00 and 90.00 degrees. The inequivalent atoms are Rb at (0.000, 0.050, 0.250), Gd at (0.000, 0.189, 0.587), Cu at (0.000, 0.346, 0.250), Cu at (0.000, 0.414, 0.529), Te at (0.000, 0.252, 0.750), Se at (0.000, 0.165, 0.072) and Se at (0.000, 0.442, 0.113).

Material: RbGd2CuTeSe3
Method: DFT, PBE-GGA
State: relaxed

The space group is Cmcm (No. 63) and the conventional cell measures 4.233, 14.609 and 14.795 Å, with angles of 90.00, 90.00 and 90.00 degrees. The inequivalent atoms are Rb at (0.000, 0.127, 0.250), Gd at (0.000, 0.367, 0.057), Cu at (0.000, 0.163, 0.750), Te at (0.000, 0.440, 0.250), Se at (0.000, 0.000, 0.000) and Se at (0.000, 0.257, 0.608).

Material: RbGd2CuTe3Se
Method: DFT, PBE-GGA
State: relaxed

The space group is Cmcm (No. 63) and the conventional cell measures 4.355, 15.179 and 15.172 Å, with angles of 90.00, 90.00 and 90.00 degrees. The inequivalent atoms are Rb at (0.000, 0.097, 0.250), Gd at (0.000, 0.365, 0.072), Cu at (0.000, 0.159, 0.750), Te at (0.000, 0.000, 0.000), Te at (0.000, 0.269, 0.615) and Se at (0.000, 0.426, 0.250).

Material: RbGd2Cu3Te4Se
Method: DFT, PBE-GGA
State: relaxed

The space group is Cmcm (No. 63) and the conventional cell measures 4.336, 15.412 and 17.922 Å, with angles of 90.00, 90.00 and 90.00 degrees. The inequivalent atoms are Rb at (0.000, 0.069, 0.250), Gd at (0.000, 0.194, 0.598), Cu at (0.000, 0.334, 0.250), Cu at (0.000, 0.415, 0.520), Te at (0.000, 0.161, 0.072), Te at (0.000, 0.445, 0.124) and Se at (0.000, 0.244, 0.750).

Material: RbGd2CuTe4
Method: DFT, PBE-GGA
State: relaxed

The space group is Cmcm (No. 63) and the conventional cell measures 4.424, 15.373 and 15.530 Å, with angles of 90.00, 90.00 and 90.00 degrees. The inequivalent atoms are Rb at (0.000, 0.110, 0.250), Gd at (0.000, 0.365, 0.064), Cu at (0.000, 0.161, 0.750), Te at (0.000, 0.000, 0.000), Te at (0.000, 0.265, 0.612) and Te at (0.000, 0.432, 0.250).

One value per record, in order, for electronic total energy: -4.27; -5.83; -4.83; -4.63; -5.07; -5.24; -4.75; -5.35; -4.97; -5.12; -5.19; -4.39; -4.55; -4.87; -4.60; -4.31; -4.47 eV/atom.
One value per record, in order, for mass density: 7.05; 6.01; 7.97; 8.06; 5.39; 5.28; 6.12; 5.34; 5.62; 5.77; 5.47; 6.37; 6.37; 6.01; 6.13; 6.54; 6.12 Mg/m³.